Computed, not measured: an optimized crystal structure of CaZrBi3 at the GGA-PBE level of DFT.

Properties
**ΔH_f (0 K)**: -64 meV per atom
**V**: 36.99 Å³/atom

```
data_CaZrBi3
_chemical_formula_sum 'Ca1 Zr1 Bi3'
_symmetry_space_group_name_H-M 'P m -3 m'
_symmetry_Int_Tables_number 221
_symmetry_space_group_name_Hall '-P 4 2 3'
_cell_length_a 5.698
_cell_length_b 5.698
_cell_length_c 5.698
_cell_angle_alpha 90.00
_cell_angle_beta 90.00
_cell_angle_gamma 90.00
loop_
_atom_site_label
_atom_site_type_symbol
_atom_site_fract_x
_atom_site_fract_y
_atom_site_fract_z
Ca1 Ca 0.000 0.000 0.000
Zr1 Zr 0.500 0.500 0.500
Bi1 Bi 0.000 0.500 0.500
```

Computed, not measured: an optimized crystal structure of Ti12Al3Au5 at the GGA-PBE level of DFT.

Properties
**ΔH_f (0 K)**: 331 meV per atom
**V**: 22.33 Å³/atom

```
data_Ti12Al3Au5
_chemical_formula_sum 'Ti96 Al24 Au40'
_symmetry_space_group_name_H-M 'I a -3 d'
_symmetry_Int_Tables_number 230
_symmetry_space_group_name_Hall '-I 4bd 2c 3'
_cell_length_a 15.288
_cell_length_b 15.288
_cell_length_c 15.288
_cell_angle_alpha 90.00
_cell_angle_beta 90.00
_cell_angle_gamma 90.00
loop_
_atom_site_label
_atom_site_type_symbol
_atom_site_fract_x
_atom_site_fract_y
_atom_site_fract_z
Ti1 Ti 0.006 0.076 0.654
Al1 Al 0.000 0.250 0.125
Au1 Au 0.000 0.000 0.000
Au2 Au 0.000 0.250 0.375
```

Computed, not measured: an optimized crystal structure of ThTa2Se4Br2 at the GGA-PBE level of DFT.

Properties
**Energy relative to the elements, uncorrected**: -0.984 eV/atom
**V**: 27.55 Å³/atom

```
data_ThTa2Se4Br2
_chemical_formula_sum 'Th1 Ta2 Se4 Br2'
_symmetry_space_group_name_H-M 'P 3 m 1'
_symmetry_Int_Tables_number 156
_symmetry_space_group_name_Hall 'P 3 -2"'
_cell_length_a 3.5589
_cell_length_b 3.5589
_cell_length_c 22.6062
_cell_angle_alpha 90.00
_cell_angle_beta 90.00
_cell_angle_gamma 120.00
loop_
_atom_site_label
_atom_site_type_symbol
_atom_site_fract_x
_atom_site_fract_y
_atom_site_fract_z
Th1 Th 0.0000 0.0000 0.0000
Ta1 Ta 0.0000 0.0000 0.6466
Ta2 Ta 0.6667 0.3333 0.3347
Se1 Se 0.0000 0.0000 0.2616
Se2 Se 0.0000 0.0000 0.4075
Se3 Se 0.6667 0.3333 0.5738
Se4 Se 0.6667 0.3333 0.7198
Br1 Br 0.6667 0.3333 0.0978
Br2 Br 0.6667 0.3333 0.9021
```

Question: What is the V in the second record?
Answer: 22.33 Å³/atom

Question: Which value of V does entry 2 give?
Answer: 22.33 Å³/atom

Question: What is the formula in the first record?
Answer: CaZrBi3